Record 1
# Tb8Dy5Cd

A relaxed Tb8Dy5Cd crystal (PBE-GGA, the Alexandria database).

a b c (Å): 8.397 8.397 8.397
angles (deg): 110.47 110.47 107.50
Atoms (fractional coordinates):
Tb 0.158 0.433 0.099
Tb 0.334 0.059 0.901
Tb 0.418 0.158 0.395
Tb 0.567 0.666 0.725
Tb 0.763 0.023 0.605
Tb 0.842 0.237 0.260
Tb 0.941 0.842 0.275
Tb 0.977 0.582 0.740
Dy 0.000 0.000 0.000
Dy 0.213 0.319 0.693
Dy 0.480 0.787 0.105
Dy 0.626 0.520 0.307
Dy 0.681 0.374 0.895
Cd 0.250 0.750 0.500

Calculated density = 8.0 Mg/m³
Space-group type = I-4 (82)
E = -4.150 eV per atom



Record 2
# CsScGaSe4

A relaxed CsScGaSe4 crystal (PBE-GGA, the Alexandria database).

a b c (Å): 6.856 6.391 9.993
angles (deg): 90.00 108.11 90.00
Atoms (fractional coordinates):
Cs 0.245 0.250 0.050
Cs 0.755 0.750 0.950
Sc 0.230 0.250 0.549
Sc 0.770 0.750 0.451
Ga 0.250 0.750 0.345
Ga 0.750 0.250 0.655
Se 0.020 0.516 0.686
Se 0.020 0.984 0.686
Se 0.460 0.750 0.197
Se 0.475 0.750 0.581
Se 0.525 0.250 0.419
Se 0.540 0.250 0.803
Se 0.980 0.016 0.314
Se 0.980 0.484 0.314

Calculated density = 4.5 Mg/m³
Space-group type = P2_1/m (11)
E = -4.491 eV per atom



Record 3
# LiPbSe

A relaxed LiPbSe crystal (PBE-GGA, the Alexandria database).

a b c (Å): 7.056 7.056 7.056
angles (deg): 90.00 90.00 90.00
Atoms (fractional coordinates):
Li 0.000 0.000 0.000
Li 0.000 0.500 0.500
Li 0.500 0.000 0.500
Li 0.500 0.500 0.000
Pb 0.250 0.250 0.750
Pb 0.250 0.750 0.250
Pb 0.750 0.250 0.250
Pb 0.750 0.750 0.750
Se 0.000 0.000 0.500
Se 0.000 0.500 0.000
Se 0.500 0.000 0.000
Se 0.500 0.500 0.500

Calculated density = 5.5 Mg/m³
Space-group type = F-43m (216)
Energy above the lowest structure with this stoichiometry = 411 meV/atom
E = -3.212 eV per atom



Record 4
# LaZrC3

A relaxed LaZrC3 crystal (PBE-GGA, the Alexandria database).

a b c (Å): 4.337 4.337 4.337
angles (deg): 90.00 90.00 90.00
Atoms (fractional coordinates):
La 0.000 0.000 0.000
Zr 0.500 0.500 0.500
C 0.000 0.500 0.500
C 0.500 0.000 0.500
C 0.500 0.500 0.000

Calculated density = 5.4 Mg/m³
Space-group type = Pm-3m (221)
Energy above the lowest structure with this stoichiometry = 0 meV/atom
E = -7.376 eV per atom



Record 5
# BeAlCu4

A relaxed BeAlCu4 crystal (PBE-GGA, the Alexandria database).

a b c (Å): 8.785 2.868 5.876
angles (deg): 90.00 109.24 90.00
Atoms (fractional coordinates):
Be 0.000 0.000 0.000
Be 0.500 0.500 0.000
Al 0.000 0.000 0.500
Al 0.500 0.500 0.500
Cu 0.150 0.500 0.852
Cu 0.168 0.500 0.311
Cu 0.332 0.000 0.689
Cu 0.350 0.000 0.148
Cu 0.650 0.000 0.852
Cu 0.668 0.000 0.311
Cu 0.832 0.500 0.689
Cu 0.850 0.500 0.148

Calculated density = 6.9 Mg/m³
Space-group type = C2/m (12)
Energy above the lowest structure with this stoichiometry = 0 meV/atom
E = -4.107 eV per atom



Record 6
# CaSmTm2Cd4

A relaxed CaSmTm2Cd4 crystal (PBE-GGA, the Alexandria database).

a b c (Å): 9.196 9.196 9.196
angles (deg): 33.58 33.58 33.58
Atoms (fractional coordinates):
Ca 0.000 0.000 0.000
Sm 0.500 0.500 0.500
Tm 0.251 0.251 0.251
Tm 0.749 0.749 0.749
Cd 0.125 0.125 0.125
Cd 0.375 0.375 0.375
Cd 0.625 0.625 0.625
Cd 0.875 0.875 0.875

Calculated density = 7.7 Mg/m³
Space-group type = R-3m (166)
E = -2.736 eV per atom



Record 7
# RbZrSbPb2

A relaxed RbZrSbPb2 crystal (PBE-GGA, the Alexandria database).

a b c (Å): 5.945 5.945 5.489
angles (deg): 90.00 90.00 90.00
Atoms (fractional coordinates):
Rb 0.000 0.000 0.000
Zr 0.000 0.000 0.500
Sb 0.500 0.500 0.500
Pb 0.000 0.500 0.000
Pb 0.500 0.000 0.000

Calculated density = 6.1 Mg/m³
Space-group type = P4/mmm (123)
Energy above the lowest structure with this stoichiometry = 899 meV/atom
E = -2.605 eV per atom



Record 8
# PmPuHg2O6

A relaxed PmPuHg2O6 crystal (PBE-GGA, the Alexandria database).

a b c (Å): 6.221 6.221 6.221
angles (deg): 56.49 56.49 56.49
Atoms (fractional coordinates):
Pm 0.000 0.000 0.000
Pu 0.500 0.500 0.500
Hg 0.251 0.251 0.251
Hg 0.749 0.749 0.749
O 0.141 0.732 0.385
O 0.268 0.615 0.859
O 0.385 0.141 0.732
O 0.615 0.859 0.268
O 0.732 0.385 0.141
O 0.859 0.268 0.615

Calculated density = 9.4 Mg/m³
Space-group type = R-3 (148)
E = -6.832 eV per atom



Record 9
# Ba2CdFeAu

A relaxed Ba2CdFeAu crystal (PBE-GGA, the Alexandria database).

a b c (Å): 6.236 6.236 5.264
angles (deg): 90.00 90.00 90.00
Atoms (fractional coordinates):
Ba 0.000 0.500 0.000
Ba 0.500 0.000 0.000
Cd 0.000 0.000 0.500
Fe 0.500 0.500 0.500
Au 0.000 0.000 0.000

Calculated density = 5.2 Mg/m³
Space-group type = P4/mmm (123)
E = -2.979 eV per atom



Record 10
# Nd2Al3CdAu4

A relaxed Nd2Al3CdAu4 crystal (PBE-GGA, the Alexandria database).

a b c (Å): 4.464 4.464 10.746
angles (deg): 90.00 90.00 90.00
Atoms (fractional coordinates):
Nd 0.000 0.500 0.243
Nd 0.500 0.000 0.757
Al 0.000 0.500 0.876
Al 0.500 0.000 0.124
Al 0.500 0.500 0.500
Cd 0.000 0.000 0.500
Au 0.000 0.000 0.000
Au 0.000 0.500 0.646
Au 0.500 0.000 0.354
Au 0.500 0.500 0.000

Calculated density = 9.8 Mg/m³
Space-group type = P-4m2 (115)
E = -4.126 eV per atom



Record 11
# KPm

A relaxed KPm crystal (PBE-GGA, the Alexandria database).

a b c (Å): 3.701 3.701 7.240
angles (deg): 90.00 90.00 120.00
Atoms (fractional coordinates):
K 0.000 0.000 0.000
Pm 0.667 0.333 0.500

Calculated density = 3.6 Mg/m³
Space-group type = P-6m2 (187)
E = -2.488 eV per atom



Record 12
# Zr2PdCl

A relaxed Zr2PdCl crystal (PBE-GGA, the Alexandria database).

a b c (Å): 6.714 6.714 6.714
angles (deg): 90.00 90.00 90.00
Atoms (fractional coordinates):
Zr 0.250 0.250 0.250
Zr 0.250 0.250 0.750
Zr 0.250 0.750 0.250
Zr 0.250 0.750 0.750
Zr 0.750 0.250 0.250
Zr 0.750 0.250 0.750
Zr 0.750 0.750 0.250
Zr 0.750 0.750 0.750
Pd 0.000 0.000 0.000
Pd 0.000 0.500 0.500
Pd 0.500 0.000 0.500
Pd 0.500 0.500 0.000
Cl 0.000 0.000 0.500
Cl 0.000 0.500 0.000
Cl 0.500 0.000 0.000
Cl 0.500 0.500 0.500

Calculated density = 7.1 Mg/m³
Space-group type = Fm-3m (225)
Energy above the lowest structure with this stoichiometry = 0 meV/atom
E = -6.437 eV per atom



Record 13
# RbTl2In4

A relaxed RbTl2In4 crystal (PBE-GGA, the Alexandria database).

a b c (Å): 9.868 9.868 9.868
angles (deg): 31.51 31.51 31.51
Atoms (fractional coordinates):
Rb 0.000 0.000 0.000
Tl 0.256 0.256 0.256
Tl 0.744 0.744 0.744
In 0.142 0.142 0.142
In 0.443 0.443 0.443
In 0.557 0.557 0.557
In 0.858 0.858 0.858

Calculated density = 6.8 Mg/m³
Space-group type = R-3m (166)
Energy above the lowest structure with this stoichiometry = 0 meV/atom
E = -2.435 eV per atom



Record 14
# MnGaPCl

A relaxed MnGaPCl crystal (PBE-GGA, the Alexandria database).

a b c (Å): 6.696 3.738 6.209
angles (deg): 90.00 106.56 90.00
Atoms (fractional coordinates):
Mn 0.000 0.000 0.000
Mn 0.500 0.500 0.000
Ga 0.278 0.000 0.756
Ga 0.778 0.500 0.756
P 0.162 0.500 0.970
P 0.662 0.000 0.970
Cl 0.057 0.000 0.390
Cl 0.557 0.500 0.390

Calculated density = 4.3 Mg/m³
Space-group type = Cm (8)
Energy above the lowest structure with this stoichiometry = 29 meV/atom
E = -5.085 eV per atom



Record 15
# TaBeIn2

A relaxed TaBeIn2 crystal (PBE-GGA, the Alexandria database).

a b c (Å): 4.135 4.135 4.211
angles (deg): 90.00 90.00 90.00
Atoms (fractional coordinates):
Ta 0.000 0.000 0.000
Be 0.500 0.500 0.000
In 0.000 0.500 0.500
In 0.500 0.000 0.500

Calculated density = 9.7 Mg/m³
Space-group type = P4/mmm (123)
E = -4.849 eV per atom



Record 16
# Ta2Os2Pd

A relaxed Ta2Os2Pd crystal (PBE-GGA, the Alexandria database).

a b c (Å): 7.581 7.581 2.985
angles (deg): 90.00 90.00 90.00
Atoms (fractional coordinates):
Ta 0.151 0.349 0.000
Ta 0.349 0.849 0.000
Ta 0.651 0.151 0.000
Ta 0.849 0.651 0.000
Os 0.144 0.644 0.500
Os 0.356 0.144 0.500
Os 0.644 0.856 0.500
Os 0.856 0.356 0.500
Pd 0.000 0.000 0.000
Pd 0.500 0.500 0.000

Calculated density = 16.4 Mg/m³
Space-group type = P4/mbm (127)
Energy above the lowest structure with this stoichiometry = 106 meV/atom
E = -10.276 eV per atom



Record 17
# SrHSe2N

A relaxed SrHSe2N crystal (PBE-GGA, the Alexandria database).

a b c (Å): 6.195 6.195 5.124
angles (deg): 90.00 90.00 90.00
Atoms (fractional coordinates):
Sr 0.000 0.000 0.000
H 0.500 0.500 0.500
Se 0.000 0.500 0.000
Se 0.500 0.000 0.000
N 0.000 0.000 0.500

Calculated density = 2.2 Mg/m³
Space-group type = P4/mmm (123)
Energy above the lowest structure with this stoichiometry = 885 meV/atom
E = -2.874 eV per atom



Record 18
# Ba2LiRh

A relaxed Ba2LiRh crystal (PBE-GGA, the Alexandria database).

a b c (Å): 8.990 8.990 7.201
angles (deg): 90.00 90.00 90.00
Atoms (fractional coordinates):
Ba 0.185 0.250 0.125
Ba 0.250 0.685 0.375
Ba 0.250 0.815 0.875
Ba 0.315 0.250 0.625
Ba 0.685 0.750 0.625
Ba 0.750 0.185 0.875
Ba 0.750 0.315 0.375
Ba 0.815 0.750 0.125
Li 0.000 0.000 0.500
Li 0.000 0.500 0.750
Li 0.500 0.000 0.250
Li 0.500 0.500 0.000
Rh 0.000 0.000 0.000
Rh 0.000 0.500 0.250
Rh 0.500 0.000 0.750
Rh 0.500 0.500 0.500

Calculated density = 4.4 Mg/m³
Space-group type = I-42d (122)
E = -3.157 eV per atom



Record 19
# DyHfU2As4

A relaxed DyHfU2As4 crystal (PBE-GGA, the Alexandria database).

a b c (Å): 6.914 3.991 7.054
angles (deg): 90.00 109.00 90.00
Atoms (fractional coordinates):
Dy 0.000 0.000 0.000
Hf 0.500 0.500 0.000
U 0.000 0.500 0.500
U 0.500 0.000 0.500
As 0.257 0.500 0.244
As 0.262 0.000 0.762
As 0.738 0.000 0.238
As 0.743 0.500 0.756

Calculated density = 10.1 Mg/m³
Space-group type = P2/m (10)
E = -7.971 eV per atom



Record 20
# NaInS2

A relaxed NaInS2 crystal (PBE-GGA, the Alexandria database).

a b c (Å): 3.787 5.606 8.169
angles (deg): 90.00 90.00 90.00
Atoms (fractional coordinates):
Na 0.250 0.250 0.120
Na 0.750 0.750 0.880
In 0.250 0.250 0.630
In 0.750 0.750 0.370
S 0.250 0.750 0.156
S 0.250 0.750 0.597
S 0.750 0.250 0.403
S 0.750 0.250 0.844

Calculated density = 3.9 Mg/m³
Space-group type = Pmmn (59)
E = -3.921 eV per atom



Record 21
# Se2I2Br

A relaxed Se2I2Br crystal (PBE-GGA, the Alexandria database).

a b c (Å): 6.079 6.231 6.710
angles (deg): 94.33 103.78 96.86
Atoms (fractional coordinates):
Se 0.140 0.021 0.152
Se 0.860 0.979 0.848
I 0.033 0.646 0.343
I 0.967 0.354 0.657
Br 0.500 0.000 0.000

Calculated density = 3.4 Mg/m³
Space-group type = P-1 (2)
Energy above the lowest structure with this stoichiometry = 0 meV/atom
E = -2.314 eV per atom



Record 22
# ZrAs7

A relaxed ZrAs7 crystal (PBE-GGA, the Alexandria database).

a b c (Å): 6.017 6.017 6.017
angles (deg): 60.00 60.00 60.00
Atoms (fractional coordinates):
Zr 0.000 0.000 0.000
As 0.000 0.000 0.500
As 0.000 0.500 0.000
As 0.000 0.500 0.500
As 0.500 0.000 0.000
As 0.500 0.000 0.500
As 0.500 0.500 0.000
As 0.500 0.500 0.500

Calculated density = 6.6 Mg/m³
Space-group type = Fm-3m (225)
E = -4.984 eV per atom



Record 23
# SrCuRe2O8

A relaxed SrCuRe2O8 crystal (PBE-GGA, the Alexandria database).

a b c (Å): 5.840 5.840 6.785
angles (deg): 90.00 90.00 120.00
Atoms (fractional coordinates):
Sr 0.000 0.000 0.000
Cu 0.000 0.000 0.500
Re 0.333 0.667 0.775
Re 0.667 0.333 0.225
O 0.163 0.326 0.702
O 0.163 0.837 0.702
O 0.326 0.163 0.298
O 0.333 0.667 0.037
O 0.667 0.333 0.963
O 0.674 0.837 0.702
O 0.837 0.163 0.298
O 0.837 0.674 0.298

Calculated density = 5.4 Mg/m³
Space-group type = P-3m1 (164)
E = -7.492 eV per atom



Record 24
# Zr2CuBi4

A relaxed Zr2CuBi4 crystal (PBE-GGA, the Alexandria database).

a b c (Å): 15.344 3.988 6.785
angles (deg): 90.00 116.03 90.00
Atoms (fractional coordinates):
Zr 0.243 0.000 0.250
Zr 0.257 0.500 0.750
Zr 0.743 0.500 0.250
Zr 0.757 0.000 0.750
Cu 0.000 0.000 0.000
Cu 0.500 0.500 0.000
Bi 0.105 0.000 0.458
Bi 0.108 0.500 0.924
Bi 0.392 0.000 0.076
Bi 0.395 0.500 0.542
Bi 0.605 0.500 0.458
Bi 0.608 0.000 0.924
Bi 0.892 0.500 0.076
Bi 0.895 0.000 0.542

Calculated density = 9.6 Mg/m³
Space-group type = C2/m (12)
E = -5.294 eV per atom



Record 25
# BaNa3C

A relaxed BaNa3C crystal (PBE-GGA, the Alexandria database).

a b c (Å): 5.235 5.235 5.235
angles (deg): 90.00 90.00 90.00
Atoms (fractional coordinates):
Ba 0.000 0.000 0.000
Na 0.000 0.500 0.500
Na 0.500 0.000 0.500
Na 0.500 0.500 0.000
C 0.500 0.500 0.500

Calculated density = 2.5 Mg/m³
Space-group type = Pm-3m (221)
Energy above the lowest structure with this stoichiometry = 0 meV/atom
E = -2.200 eV per atom



Record 26
# Ca2ReSi

A relaxed Ca2ReSi crystal (PBE-GGA, the Alexandria database).

a b c (Å): 4.223 4.223 9.041
angles (deg): 90.00 90.00 90.00
Atoms (fractional coordinates):
Ca 0.000 0.500 0.250
Ca 0.000 0.500 0.750
Ca 0.500 0.000 0.250
Ca 0.500 0.000 0.750
Re 0.000 0.000 0.000
Re 0.500 0.500 0.500
Si 0.000 0.000 0.500
Si 0.500 0.500 0.000

Calculated density = 6.1 Mg/m³
Space-group type = I4/mmm (139)
E = -4.951 eV per atom